1.
Computed, not measured: crystalline SrDyCd at its relaxed geometry at the PBE level of DFT.

The structure in POSCAR format:
```
SrDyCd
1.0
4.0057 0.0000 0.0000
0.0000 5.4479 0.0000
0.0000 -2.7239 4.7180
Sr Cd Dy
1 1 1
direct
0.6544 0.6667 0.3333 Sr
0.2061 0.3333 0.6667 Cd
0.1395 0.0000 0.0000 Dy
```

## Properties
Formation energy: 15.2 meV per atom
Fermi-level density of states: 0.9573 states/eV per atom

=====

2.
Computed, not measured: crystalline Sr2DyCd3 at its relaxed geometry at the PBE level of DFT.

The structure in POSCAR format:
```
Sr2DyCd3
1.0
5.5664 0.0000 0.0219
2.7832 8.3522 0.0110
-0.0312 0.0000 7.9111
Sr Dy Cd
4 2 6
direct
0.0000 0.0000 0.0000 Sr
0.0000 0.0000 0.5000 Sr
0.3348 0.3303 0.5000 Sr
0.6652 0.6697 0.5000 Sr
0.3328 0.3343 0.0000 Dy
0.6672 0.6657 0.0000 Dy
0.8266 0.3467 0.7774 Cd
0.5000 0.0000 0.2306 Cd
0.1734 0.6533 0.2226 Cd
0.8266 0.3467 0.2226 Cd
0.1734 0.6533 0.7774 Cd
0.5000 0.0000 0.7694 Cd
```

## Properties
Formation energy: -305.4 meV per atom
Fermi-level density of states: 0.8257 states/eV per atom

=====

3.
Computed, not measured: crystalline SrDyCd at its relaxed geometry at the PBE level of DFT.

The structure in POSCAR format:
```
SrDyCd
1.0
3.8648 0.0000 0.0000
0.0000 3.8648 0.0000
-1.9324 -1.9324 6.7957
Sr Cd Dy
1 1 1
direct
0.0170 0.0170 0.0339 Sr
0.6827 0.6827 0.3654 Cd
0.3004 0.3004 0.6007 Dy
```

## Properties
Formation energy: -124.8 meV per atom
Fermi-level density of states: 1.1454 states/eV per atom

=====

4.
Computed, not measured: crystalline Sr2DyCd4 at its relaxed geometry at the PBE level of DFT.

The structure in POSCAR format:
```
Sr2DyCd4
1.0
-1.0970 4.2248 -3.4831
3.9406 -1.8573 -3.4938
-6.3387 -5.2504 0.1045
Sr Dy Cd
2 1 4
direct
0.7375 0.7375 0.4750 Sr
0.2625 0.2625 0.5250 Sr
0.0000 0.0000 0.0000 Dy
0.3946 0.8946 0.7892 Cd
0.8946 0.3946 0.7892 Cd
0.6054 0.1054 0.2108 Cd
0.1054 0.6054 0.2108 Cd
```

## Properties
Formation energy: -160.9 meV per atom
Fermi-level density of states: 1.0106 states/eV per atom

=====

5.
Computed, not measured: crystalline SrDy5Cd6 at its relaxed geometry at the PBE level of DFT.

The structure in POSCAR format:
```
SrDy5Cd6
1.0
5.1366 0.0218 -1.4991
-1.0417 6.6693 -3.4730
-0.0894 0.4831 9.2511
Sr Cd Dy
1 6 5
direct
0.0000 0.0000 0.0000 Sr
0.8279 0.5674 0.6558 Cd
0.8279 0.0884 0.6558 Cd
0.5000 0.7291 0.0000 Cd
0.5000 0.2709 0.0000 Cd
0.1721 0.9116 0.3442 Cd
0.1721 0.4326 0.3442 Cd
0.6626 0.1626 0.3253 Dy
0.3310 0.3310 0.6620 Dy
0.0000 0.5000 0.0000 Dy
0.6690 0.6690 0.3380 Dy
0.3374 0.8374 0.6747 Dy
```

## Properties
Formation energy: -300.9 meV per atom
Fermi-level density of states: 0.9224 states/eV per atom

=====

6.
Computed, not measured: crystalline Sr2DyCd at its relaxed geometry at the PBE level of DFT.

The structure in POSCAR format:
```
Sr2DyCd
1.0
4.2727 0.0000 0.0000
0.0000 4.2727 0.0000
0.0000 0.0000 8.0739
Sr Cd Dy
2 1 1
direct
0.0000 0.0000 0.7683 Sr
0.0000 0.0000 0.2317 Sr
0.5000 0.5000 0.0000 Cd
0.5000 0.5000 0.5000 Dy
```

## Properties
Formation energy: 23.6 meV per atom
Fermi-level density of states: 1.0046 states/eV per atom

=====

7.
Computed, not measured: crystalline Sr2Dy2Cd15 at its relaxed geometry at the PBE level of DFT.

The structure in POSCAR format:
```
Sr2Dy2Cd15
1.0
8.0112 0.2470 0.2201
1.2843 7.9115 0.2201
1.2843 1.1272 7.8338
Sr Dy Cd
2 2 15
direct
0.3345 0.3345 0.3345 Sr
0.6655 0.6655 0.6655 Sr
0.0962 0.0962 0.0962 Dy
0.9038 0.9038 0.9038 Dy
0.5000 0.0000 0.0000 Cd
0.0000 0.0000 0.5000 Cd
0.0000 0.5000 0.0000 Cd
0.0000 0.7066 0.2934 Cd
0.7066 0.2934 0.0000 Cd
0.2934 0.0000 0.7066 Cd
0.2934 0.7066 0.0000 Cd
0.7066 0.0000 0.2934 Cd
0.0000 0.2934 0.7066 Cd
0.1456 0.6362 0.6362 Cd
0.6362 0.6362 0.1456 Cd
0.6362 0.1456 0.6362 Cd
0.8544 0.3638 0.3638 Cd
0.3638 0.3638 0.8544 Cd
0.3638 0.8544 0.3638 Cd
```

## Properties
Formation energy: -171.1 meV per atom
Fermi-level density of states: 0.4877 states/eV per atom

=====

8.
Computed, not measured: crystalline SrDy2Cd9 at its relaxed geometry at the PBE level of DFT.

The structure in POSCAR format:
```
SrDy2Cd9
1.0
-4.1653 -4.0475 -1.6621
1.7059 -5.3986 -2.1073
-0.9533 -6.6422 7.5855
Sr Dy Cd
1 2 9
direct
0.0000 0.0000 0.0000 Sr
0.8546 0.8546 0.4361 Dy
0.1454 0.1454 0.5639 Dy
0.6643 0.6643 0.0072 Cd
0.3357 0.3357 0.9928 Cd
0.5000 0.5000 0.5000 Cd
0.4088 0.4088 0.2594 Cd
0.9231 0.4088 0.2594 Cd
0.4088 0.9231 0.2594 Cd
0.5912 0.5912 0.7406 Cd
0.5912 0.0769 0.7406 Cd
0.0769 0.5912 0.7406 Cd
```

## Properties
Formation energy: -238.1 meV per atom
Fermi-level density of states: 0.6591 states/eV per atom

=====

9.
Computed, not measured: crystalline SrDy2Cd2 at its relaxed geometry at the PBE level of DFT.

The structure in POSCAR format:
```
SrDy2Cd2
1.0
3.7496 0.0000 0.0000
0.0000 3.8707 0.7334
0.0000 -0.0260 10.7183
Sr Dy Cd
1 2 2
direct
0.0000 0.0000 0.0000 Sr
0.0000 0.1815 0.6371 Dy
0.0000 0.8185 0.3629 Dy
0.5000 0.3947 0.2107 Cd
0.5000 0.6053 0.7893 Cd
```

## Properties
Formation energy: -110.1 meV per atom
Fermi-level density of states: 0.9865 states/eV per atom

=====

10.
Computed, not measured: crystalline SrDy2Cd at its relaxed geometry at the PBE level of DFT.

The structure in POSCAR format:
```
SrDy2Cd
1.0
3.7866 0.0000 0.0000
0.0000 3.7866 0.0000
0.0000 0.0000 9.4645
Sr Cd Dy
1 1 2
direct
0.5000 0.5000 0.5000 Sr
0.5000 0.5000 0.0000 Cd
0.0000 0.0000 0.8120 Dy
0.0000 0.0000 0.1880 Dy
```

## Properties
Formation energy: -22.1 meV per atom
Fermi-level density of states: 1.5121 states/eV per atom

=====

11.
Computed, not measured: crystalline Sr2DyCd at its relaxed geometry at the PBE level of DFT.

The structure in POSCAR format:
```
Sr2DyCd
1.0
-2.0278 2.1979 -2.3635
-1.2142 -1.3979 -3.3317
-11.5744 -3.5709 3.5360
Sr Cd Dy
2 1 1
direct
0.0957 0.0957 0.7130 Sr
0.9043 0.9043 0.2870 Sr
0.5000 0.5000 0.5000 Cd
0.0000 0.0000 0.0000 Dy
```

## Properties
Formation energy: 235.3 meV per atom
Fermi-level density of states: 1.3644 states/eV per atom

=====

12.
Computed, not measured: crystalline SrDy2Cd at its relaxed geometry at the PBE level of DFT.

The structure in POSCAR format:
```
SrDy2Cd
1.0
-2.3551 -1.9912 -1.9526
1.2035 -2.0604 -2.7624
1.1499 -10.5445 5.9543
Sr Cd Dy
1 1 2
direct
0.0000 0.0000 0.0000 Sr
0.5000 0.5000 0.5000 Cd
0.0995 0.0995 0.7016 Dy
0.9005 0.9005 0.2984 Dy
```

## Properties
Formation energy: 181.7 meV per atom
Fermi-level density of states: 1.4164 states/eV per atom

=====

13.
Computed, not measured: crystalline SrDy2Cd6 at its relaxed geometry at the PBE level of DFT.

The structure in POSCAR format:
```
SrDy2Cd6
1.0
3.5111 0.0000 0.0000
0.0000 7.5635 -4.3668
0.0000 0.0000 8.7336
Sr Dy Cd
1 2 6
direct
0.0000 0.0000 0.0000 Sr
0.0000 0.3333 0.6667 Dy
0.0000 0.6667 0.3333 Dy
0.5000 0.3379 0.3379 Cd
0.5000 0.6621 0.6621 Cd
0.5000 0.0000 0.6621 Cd
0.5000 0.6621 0.0000 Cd
0.5000 0.3379 0.0000 Cd
0.5000 0.0000 0.3379 Cd
```

## Properties
Formation energy: -296.8 meV per atom
Fermi-level density of states: 0.8457 states/eV per atom

=====

14.
Computed, not measured: crystalline SrDyTlCd at its relaxed geometry at the PBE level of DFT.

The structure in POSCAR format:
```
SrDyTlCd
1.0
-0.1121 3.8987 3.9227
-4.6275 0.8702 2.9032
-0.2325 -1.4487 5.3336
Sr Tl Cd Dy
1 1 1 1
direct
0.5000 0.5000 0.5000 Sr
0.2500 0.2500 0.2500 Tl
0.7500 0.7500 0.7500 Cd
0.0000 0.0000 0.0000 Dy
```

## Properties
Formation energy: -315.5 meV per atom
Fermi-level density of states: 0.6090 states/eV per atom

=====

15.
Computed, not measured: crystalline SrDyTlCd at its relaxed geometry at the PBE level of DFT.

The structure in POSCAR format:
```
SrDyTlCd
1.0
3.8745 0.0000 0.0000
0.0000 3.8745 0.0000
0.0000 0.0000 7.9808
Sr Dy Tl Cd
1 1 1 1
direct
0.5000 0.5000 0.1097 Sr
0.5000 0.5000 0.6007 Dy
0.0000 0.0000 0.8311 Tl
0.0000 0.0000 0.3864 Cd
```

## Properties
Formation energy: -353.9 meV per atom
Fermi-level density of states: 0.6613 states/eV per atom

=====

16.
Computed, not measured: crystalline SrDyZnCd at its relaxed geometry at the PBE level of DFT.

The structure in POSCAR format:
```
SrDyZnCd
1.0
5.3815 0.0000 0.0000
2.6908 4.6605 0.0000
2.6908 1.5535 4.3940
Sr Zn Cd Dy
1 1 1 1
direct
0.0000 0.0000 0.0000 Sr
0.2500 0.2500 0.2500 Zn
0.7500 0.7500 0.7500 Cd
0.5000 0.5000 0.5000 Dy
```

## Properties
Formation energy: -216.0 meV per atom
Fermi-level density of states: 0.9598 states/eV per atom

=====

17.
Computed, not measured: crystalline Dy2TaCd at its relaxed geometry at the PBE level of DFT.

The structure in POSCAR format:
```
Dy2TaCd
1.0
-2.8379 1.2174 0.5998
-2.2185 -1.7735 1.3523
2.0053 3.2290 11.1832
Cd Dy Ta
1 2 1
direct
0.5000 0.5000 0.5000 Cd
0.0855 0.0855 0.7435 Dy
0.9145 0.9145 0.2565 Dy
0.0000 0.0000 0.0000 Ta
```

## Properties
Formation energy: 520.9 meV per atom
Fermi-level density of states: 1.4084 states/eV per atom

=====

18.
Computed, not measured: crystalline Tb4Dy3Cd at its relaxed geometry at the PBE level of DFT.

The structure in POSCAR format:
```
Tb4Dy3Cd
1.0
4.0500 0.0000 0.0000
0.0000 4.0500 0.0000
0.0000 0.0000 14.9027
Cd Tb Dy
1 4 3
direct
0.5000 0.5000 0.0000 Cd
0.0000 0.0000 0.8849 Tb
0.0000 0.0000 0.1151 Tb
0.0000 0.0000 0.3724 Tb
0.0000 0.0000 0.6276 Tb
0.5000 0.5000 0.2498 Dy
0.5000 0.5000 0.5000 Dy
0.5000 0.5000 0.7502 Dy
```

## Properties
Formation energy: 35.8 meV per atom
Fermi-level density of states: 1.8674 states/eV per atom

=====

19.
Computed, not measured: crystalline Tb2Dy6Cd at its relaxed geometry at the PBE level of DFT.

The structure in POSCAR format:
```
Tb2Dy6Cd
1.0
-1.0200 3.8800 2.9288
-1.2989 -6.4810 8.1334
10.1742 0.9047 2.3457
Tb Dy Cd
4 12 2
direct
0.0000 0.3358 0.8356 Tb
0.5000 0.8358 0.6644 Tb
0.5000 0.1642 0.3356 Tb
0.0000 0.6642 0.1644 Tb
0.0000 0.0000 0.1672 Dy
0.0000 0.6671 0.5002 Dy
0.9999 0.6647 0.8355 Dy
0.5001 0.1647 0.6645 Dy
0.5000 0.1671 0.9998 Dy
0.5000 0.5000 0.3328 Dy
0.0000 0.0000 0.8328 Dy
0.0000 0.3329 0.4998 Dy
0.0001 0.3353 0.1645 Dy
0.4999 0.8353 0.3355 Dy
0.5000 0.8329 0.0002 Dy
0.5000 0.5000 0.6672 Dy
0.5000 0.5000 0.0000 Cd
0.0000 0.0000 0.5000 Cd
```

## Properties
Formation energy: -15.0 meV per atom
Fermi-level density of states: 1.4242 states/eV per atom

=====

20.
Computed, not measured: crystalline Tb6Dy12Cd at its relaxed geometry at the PBE level of DFT.

The structure in POSCAR format:
```
Tb6Dy12Cd
1.0
-3.0418 -2.1124 -7.5888
-1.8078 -7.7949 2.6974
-7.7780 2.3924 2.2548
Tb Dy Cd
6 12 1
direct
0.7392 0.9038 0.2927 Tb
0.7073 0.2608 0.0962 Tb
0.0962 0.7073 0.2608 Tb
0.2608 0.0962 0.7073 Tb
0.2927 0.7392 0.9038 Tb
0.9038 0.2927 0.7392 Tb
0.7807 0.5380 0.4349 Dy
0.4349 0.7807 0.5380 Dy
0.5380 0.4349 0.7807 Dy
0.2193 0.4620 0.5651 Dy
0.5651 0.2193 0.4620 Dy
0.4620 0.5651 0.2193 Dy
0.0149 0.1813 0.3629 Dy
0.8187 0.6371 0.9851 Dy
0.6371 0.9851 0.8187 Dy
0.9851 0.8187 0.6371 Dy
0.1813 0.3629 0.0149 Dy
0.3629 0.0149 0.1813 Dy
0.0000 0.0000 0.0000 Cd
```

## Properties
Formation energy: 104.8 meV per atom
Fermi-level density of states: 1.5097 states/eV per atom